one) Density functional theory data (PBEsol) for CaAsBr2 after structural relaxation.

Results
The calculated volume is 23.99 Å³/atom.

abc: 7.2678 7.2678 7.2678
angles: 90.00 90.00 90.00
Last column: nearest neighbours and their distance in Å.
Space group Fm-3m (No. 225)
Asymmetric unit:
Ca (0.0000, 0.0000, 0.0000) [4 per cell]  8 Br 3.15
As (0.0000, 0.0000, 0.5000) [4 per cell]  8 Br 3.15
Br (0.2500, 0.2500, 0.2500) [8 per cell]  4 As 3.15, 4 Ca 3.15



two) Density functional theory data (PBEsol) for CaAsBr2 after structural relaxation.

Results
The calculated volume is 25.67 Å³/atom.

abc: 7.4334 7.4334 7.4334
angles: 90.00 90.00 90.00
Last column: nearest neighbours and their distance in Å.
Space group F-43m (No. 216)
Asymmetric unit:
Ca (0.0000, 0.0000, 0.0000) [4 per cell]  4 Br 3.22, 4 As 3.22
As (0.2500, 0.2500, 0.7500) [4 per cell]  4 Br 3.22, 4 Ca 3.22
Br (0.0000, 0.0000, 0.5000) [4 per cell]  4 As 3.22, 4 Br 3.22
Br (0.2500, 0.2500, 0.2500) [4 per cell]  4 Br 3.22, 4 Ca 3.22



three) Density functional theory data (PBEsol) for CaAsBr2 after structural relaxation.

Results
The calculated volume is 29.18 Å³/atom.

abc: 12.8541 3.5488 5.1399
angles: 90.00 95.29 90.00
Last column: nearest neighbours and their distance in Å.
Space group C2/m (No. 12)
Asymmetric unit:
Ca (0.0000, 0.0000, 0.0000) [2 per cell]  4 Br 2.89, 4 As 3.12
As (0.0000, 0.5000, 0.5000) [2 per cell]  2 Br 2.64
Br (0.1627, 0.5000, 0.2217) [4 per cell]  1 As 2.64, 2 Ca 2.89



Most favorable structure: three). The second most favorable one is 35.2 kJ/mol of atoms above it.